# 1
Computed, not measured: a relaxed structure of ScOs2Pb at the GGA-PBE level of DFT.

Output
The calculation puts the total moment at 0.00 μB per atom. For the density of states at the Fermi level, the calculation gives 0.555 states/eV per atom. The total DFT energy (no corrections) is -30.87 eV/f.u.

Cell lengths 4.523, 3.039, 5.499 Å; angles 91.03, 90.00, 90.00 degrees
Sites, in units of the cell vectors:
Os 0.000 0.085 0.954
Os 0.000 0.415 0.546
Pb 0.500 0.250 0.250
Sc 0.500 0.750 0.750

=====

# 2
Computed, not measured: a relaxed structure of LaSc2Sb2 at the GGA-PBE level of DFT.

Output
The calculation puts the total moment at 0.00 μB per atom. The formation energy from raw total energies is -0.80 eV per atom. For the density of states at the Fermi level, the calculation gives 0.944 states/eV per atom. The total DFT energy (no corrections) is -29.82 eV/f.u.

Cell lengths 8.297, 8.297, 3.840 Å; angles 90.00, 90.00, 90.00 degrees
Sites, in units of the cell vectors:
Sc 0.149 0.649 0.500
Sc 0.649 0.851 0.500
Sc 0.851 0.351 0.500
Sc 0.351 0.149 0.500
Sb 0.356 0.856 0.000
Sb 0.856 0.644 0.000
Sb 0.644 0.144 0.000
Sb 0.144 0.356 0.000
La 0.000 0.000 0.000
La 0.500 0.500 0.000

=====

# 3
Computed, not measured: a relaxed structure of SiBiO2 at the GGA-PBE level of DFT.

Output
The calculation puts the total moment at 0.00 μB per atom. The formation energy from raw total energies is -0.86 eV per atom. For the density of states at the Fermi level, the calculation gives 0.242 states/eV per atom. The total DFT energy (no corrections) is -22.67 eV/f.u.

Cell lengths 7.203, 7.203, 7.203 Å; angles 25.95, 25.95, 25.95 degrees
Sites, in units of the cell vectors:
Si 0.000 0.000 0.000
Bi 0.500 0.500 0.500
O 0.921 0.921 0.921
O 0.079 0.079 0.079

=====

# 4
Computed, not measured: a relaxed structure of Ho2PaIn at the GGA-PBE level of DFT.

Output
The calculation puts the total moment at 0.00 μB per atom. For the density of states at the Fermi level, the calculation gives 1.013 states/eV per atom. The total DFT energy (no corrections) is -21.73 eV/f.u.

Cell lengths 3.427, 3.427, 10.936 Å; angles 80.99, 80.99, 60.00 degrees
Sites, in units of the cell vectors:
Pa 0.500 0.500 0.500
Ho 0.251 0.251 0.248
Ho 0.749 0.749 0.752
In 0.000 0.000 0.000

=====

# 5
Computed, not measured: a relaxed structure of AlVCl2 at the GGA-PBE level of DFT.

Output
The calculation puts the total moment at 0.22 μB per atom. The formation energy from raw total energies is -0.38 eV per atom. For the density of states at the Fermi level, the calculation gives 0.861 states/eV per atom. The total DFT energy (no corrections) is -18.07 eV/f.u.

Cell lengths 9.179, 9.179, 9.179 Å; angles 19.66, 19.66, 19.66 degrees
Sites, in units of the cell vectors:
Cl 0.893 0.893 0.893
Cl 0.107 0.107 0.107
Al 0.000 0.000 0.000
V 0.500 0.500 0.500

=====

# 6
Computed, not measured: a relaxed structure of Y2ReRu at the GGA-PBE level of DFT.

Output
The calculation puts the total moment at 0.00 μB per atom. For the density of states at the Fermi level, the calculation gives 1.480 states/eV per atom. The total DFT energy (no corrections) is -33.94 eV/f.u.

Cell lengths 4.854, 4.854, 4.854 Å; angles 60.00, 60.00, 60.00 degrees
Sites, in units of the cell vectors:
Y 0.250 0.250 0.250
Y 0.750 0.750 0.750
Re 0.500 0.500 0.500
Ru 0.000 0.000 0.000

=====

# 7
Computed, not measured: a relaxed structure of CaSi2Pb at the GGA-PBE level of DFT.

Output
The calculation puts the total moment at 0.00 μB per atom. The formation energy from raw total energies is 0.30 eV per atom. For the density of states at the Fermi level, the calculation gives 0.678 states/eV per atom. The total DFT energy (no corrections) is -15.36 eV/f.u.

Cell lengths 5.097, 5.097, 5.097 Å; angles 60.00, 60.00, 60.00 degrees
Sites, in units of the cell vectors:
Ca 0.500 0.500 0.500
Pb 0.750 0.750 0.750
Si 0.000 0.000 0.000
Si 0.250 0.250 0.250

=====

# 8
Computed, not measured: a relaxed structure of Pr8Dy2Ho at the GGA-PBE level of DFT.

Output
The calculation puts the total moment at 0.00 μB per atom. For the density of states at the Fermi level, the calculation gives 1.476 states/eV per atom. The total DFT energy (no corrections) is -49.85 eV/f.u.

Cell lengths 8.740, 9.279, 9.279 Å; angles 43.41, 52.87, 52.87 degrees
Sites, in units of the cell vectors:
Pr 0.194 0.354 0.838
Pr 0.806 0.162 0.646
Pr 0.301 0.740 0.740
Pr 0.699 0.260 0.260
Pr 0.194 0.838 0.354
Pr 0.806 0.646 0.162
Pr 0.777 0.609 0.609
Pr 0.223 0.391 0.391
Dy 0.524 0.859 0.859
Dy 0.476 0.141 0.141
Ho 0.000 0.000 0.000